Below is a geometry-optimized CsK2Se structure, with properties calculated at the PBE-GGA level.

The structure in CIF format:
```
data_CsK2Se
_cell_length_a 11.6528
_cell_length_b 11.6528
_cell_length_c 7.2238
_cell_angle_alpha 90.00
_cell_angle_beta 90.00
_cell_angle_gamma 90.00
_symmetry_space_group_name_H-M 'I -4 2 d'
_symmetry_Int_Tables_number 122
_symmetry_space_group_name_Hall 'I -4 2bw'
loop_
_atom_site_label
_atom_site_type_symbol
_atom_site_fract_x
_atom_site_fract_y
_atom_site_fract_z
Cs1 Cs 0.0000 0.0000 0.0000
K1 K 0.0920 0.2500 0.6250
Se1 Se 0.0000 0.0000 0.5000
```

Energy relative to the elements, uncorrected = -0.67 eV/atom